This record from the Alexandria database describes HoCoC after structural relaxation. The functional is PBE-GGA.

a = 3.9039 Å, b = 3.4434 Å, c = 3.4434 Å
α = 120.00°, β = 90.00°, γ = 90.00°
Last column: nearest neighbours and their distance in Å.
Element x y z (fractional)
C 0.1669 0.0000 0.0000  3 Co 1.99
Co 0.1666 0.3333 0.6667  3 C 1.99
Ho 0.6665 0.6667 0.3333  6 C 2.78-2.79, 6 Co 2.79

Values from the calculation:
Electronic total energy (eV for the cell shown): -21.3
Space-group type: P-6m2
Energy relative to the lowest polymorph listed for this composition (eV per atom): 0.220
V (Å³ per atom): 13.36
Density (g/cm³): 9.77

=====

This record from the Alexandria database describes NiOsSe3 after structural relaxation. The functional is PBE-GGA.

a = 4.5417 Å, b = 4.5417 Å, c = 4.5417 Å
α = 90.00°, β = 90.00°, γ = 90.00°
Last column: nearest neighbours and their distance in Å.
Element x y z (fractional)
Ni 0.0000 0.0000 0.0000  6 Se 2.27
Os 0.5000 0.5000 0.5000  12 Se 3.21
Se 0.5000 0.0000 0.0000  2 Ni 2.27
Se 0.0000 0.5000 0.0000  2 Ni 2.27
Se 0.0000 0.0000 0.5000  2 Ni 2.27

Values from the calculation:
Electronic total energy (eV for the cell shown): -21.9
Raw formation energy (eV per atom): 1.120
Space-group type: Pm-3m
Energy relative to the lowest polymorph listed for this composition (eV per atom): 0.065
V (Å³ per atom): 18.74
Density (g/cm³): 8.61

=====

This record from the Alexandria database describes Pm5Y4Er4 after structural relaxation. The functional is PBE-GGA.

a = 5.0579 Å, b = 9.4835 Å, c = 9.4834 Å
α = 85.92°, β = 74.53°, γ = 74.53°
Last column: nearest neighbours and their distance in Å.
Element x y z (fractional)
Er 0.1545 0.0776 0.6134  6 Pm 3.55-3.60, 2 Er 3.56, 4 Y 3.57-3.59
Y 0.0771 0.5383 0.3075  4 Er 3.57-3.59, 3 Pm 3.57-3.59, 5 Y 3.58-3.59
Er 0.8455 0.9224 0.3866  6 Pm 3.55-3.60, 2 Er 3.56, 4 Y 3.57-3.59
Pm 0.5398 0.7675 0.1530  5 Er 3.55-3.60, 3 Y 3.57-3.59, 4 Pm 3.59-3.60
Er 0.7679 0.3866 0.0776  6 Pm 3.55-3.60, 2 Er 3.56, 4 Y 3.57-3.59
Pm 0.6928 0.8470 0.7675  5 Er 3.55-3.60, 3 Y 3.57-3.59, 4 Pm 3.59-3.60
Pm 0.3072 0.1530 0.2325  5 Er 3.55-3.60, 3 Y 3.57-3.59, 4 Pm 3.59-3.60
Y 0.9229 0.4617 0.6925  4 Er 3.57-3.59, 3 Pm 3.57-3.59, 5 Y 3.58-3.59
Pm 0.4602 0.2325 0.8470  5 Er 3.55-3.60, 3 Y 3.57-3.59, 4 Pm 3.59-3.60
Y 0.3846 0.6925 0.5383  4 Er 3.57-3.59, 3 Pm 3.57-3.59, 5 Y 3.58-3.59
Pm 0.0000 0.0000 0.0000  8 Pm 3.59, 4 Er 3.60
Er 0.2321 0.6134 0.9224  6 Pm 3.55-3.60, 2 Er 3.56, 4 Y 3.57-3.59
Y 0.6154 0.3075 0.4617  4 Er 3.57-3.59, 3 Pm 3.57-3.59, 5 Y 3.58-3.59

Values from the calculation:
Electronic total energy (eV for the cell shown): -67.6
Space-group type: I4/m
V (Å³ per atom): 32.50
Density (g/cm³): 6.88

=====

This record from the Alexandria database describes Ta2HgTeP after structural relaxation. The functional is PBE-GGA.

a = 5.1844 Å, b = 5.2906 Å, c = 5.1844 Å
α = 90.00°, β = 90.00°, γ = 90.00°
Last column: nearest neighbours and their distance in Å.
Element x y z (fractional)
Ta 0.0000 0.0000 0.5000  2 Hg 2.59
Te 0.0000 0.5000 0.0000  2 Hg 2.65
Hg 0.0000 0.0000 0.0000  4 Ta 2.59, 2 Te 2.65
Ta 0.5000 0.0000 0.0000  2 Hg 2.59
P 0.5000 0.5000 0.5000  4 Te 3.67, 8 Ta 3.70

Values from the calculation:
Electronic total energy (eV for the cell shown): -21.2
Raw formation energy (eV per atom): 2.271
Space-group type: P4/mmm
V (Å³ per atom): 28.44
Density (g/cm³): 8.42

=====

> Which value of density does entry 2 give?

8.61 g/cm³

=====

What did the third record say?
This record from the Alexandria database describes Pm5Y4Er4 after structural relaxation. The functional is PBE-GGA.

a = 5.0579 Å, b = 9.4835 Å, c = 9.4834 Å
α = 85.92°, β = 74.53°, γ = 74.53°
Last column: nearest neighbours and their distance in Å.
Element x y z (fractional)
Er 0.1545 0.0776 0.6134  6 Pm 3.55-3.60, 2 Er 3.56, 4 Y 3.57-3.59
Y 0.0771 0.5383 0.3075  4 Er 3.57-3.59, 3 Pm 3.57-3.59, 5 Y 3.58-3.59
Er 0.8455 0.9224 0.3866  6 Pm 3.55-3.60, 2 Er 3.56, 4 Y 3.57-3.59
Pm 0.5398 0.7675 0.1530  5 Er 3.55-3.60, 3 Y 3.57-3.59, 4 Pm 3.59-3.60
Er 0.7679 0.3866 0.0776  6 Pm 3.55-3.60, 2 Er 3.56, 4 Y 3.57-3.59
Pm 0.6928 0.8470 0.7675  5 Er 3.55-3.60, 3 Y 3.57-3.59, 4 Pm 3.59-3.60
Pm 0.3072 0.1530 0.2325  5 Er 3.55-3.60, 3 Y 3.57-3.59, 4 Pm 3.59-3.60
Y 0.9229 0.4617 0.6925  4 Er 3.57-3.59, 3 Pm 3.57-3.59, 5 Y 3.58-3.59
Pm 0.4602 0.2325 0.8470  5 Er 3.55-3.60, 3 Y 3.57-3.59, 4 Pm 3.59-3.60
Y 0.3846 0.6925 0.5383  4 Er 3.57-3.59, 3 Pm 3.57-3.59, 5 Y 3.58-3.59
Pm 0.0000 0.0000 0.0000  8 Pm 3.59, 4 Er 3.60
Er 0.2321 0.6134 0.9224  6 Pm 3.55-3.60, 2 Er 3.56, 4 Y 3.57-3.59
Y 0.6154 0.3075 0.4617  4 Er 3.57-3.59, 3 Pm 3.57-3.59, 5 Y 3.58-3.59

Values from the calculation:
Electronic total energy (eV for the cell shown): -67.6
Space-group type: I4/m
V (Å³ per atom): 32.50
Density (g/cm³): 6.88

=====

> What is the formula in the fourth record?

Ta2HgTeP